LaAl33O51 | PBE | relaxed

Computed properties:
- crystal system = monoclinic
- energy relative to the elements, uncorrected (meV/atom) = -3002
- size of the total moment (μB/atom) = 0.0015

```
data_LaAl33O51
_cell_length_a 9.782
_cell_length_b 16.999
_cell_length_c 11.788
_cell_angle_alpha 90.00
_cell_angle_beta 106.09
_cell_angle_gamma 90.00
_symmetry_space_group_name_H-M 'C 1 2/m 1'
_symmetry_Int_Tables_number 12
_symmetry_space_group_name_Hall '-C 2y'
loop_
_atom_site_label
_atom_site_fract_x
_atom_site_fract_y
_atom_site_fract_z
La1 0.000 0.000 0.000
Al1 0.000 0.000 0.500
Al2 0.000 0.334 0.500
Al3 0.049 0.500 0.147
Al4 0.052 0.168 0.150
Al5 0.096 0.334 0.283
Al6 0.101 0.000 0.295
Al7 0.150 0.167 0.451
Al8 0.150 0.500 0.446
Al9 0.154 0.417 0.715
Al10 0.155 0.249 0.716
Al11 0.156 0.084 0.717
O1 0.000 0.142 0.000
O2 0.000 0.500 0.000
O3 0.046 0.078 0.400
O4 0.046 0.255 0.401
O5 0.046 0.412 0.401
O6 0.091 0.000 0.791
O7 0.095 0.167 0.790
O8 0.095 0.333 0.784
O9 0.098 0.500 0.789
O10 0.151 0.079 0.203
O11 0.154 0.251 0.207
O12 0.155 0.417 0.212
O13 0.187 0.000 0.602
O14 0.192 0.335 0.602
O15 0.202 0.167 0.611
O16 0.205 0.500 0.609
```